Entry 1:
# PBE AlInCu, optimized geometry
# Final energy: -3.41 eV/atom
data_AlInCu
_space_group_name_H-M_alt 'P 42/m m c'
_space_group_IT_number 131
_space_group_name_Hall '-P 4c 2'
_cell_length_a 4.2832
_cell_length_b 4.2832
_cell_length_c 6.1035
_cell_angle_alpha 90.00
_cell_angle_beta 90.00
_cell_angle_gamma 90.00
loop_
_atom_site_label
_atom_site_type_symbol
_atom_site_fract_x
_atom_site_fract_y
_atom_site_fract_z
Al1 Al 0.0000 0.0000 0.2500
In1 In 0.5000 0.5000 0.2500
Cu1 Cu 0.0000 0.5000 0.0000

Entry 2:
# PBE AlIn3Cu2, optimized geometry
# Final energy: -3.23 eV/atom
data_AlIn3Cu2
_space_group_name_H-M_alt 'P -4 m 2'
_space_group_IT_number 115
_space_group_name_Hall 'P -4 -2'
_cell_length_a 4.3977
_cell_length_b 4.3977
_cell_length_c 6.2387
_cell_angle_alpha 90.00
_cell_angle_beta 90.00
_cell_angle_gamma 90.00
loop_
_atom_site_label
_atom_site_type_symbol
_atom_site_fract_x
_atom_site_fract_y
_atom_site_fract_z
Al1 Al 0.0000 0.0000 0.0000
In1 In 0.0000 0.0000 0.5000
In2 In 0.5000 0.5000 0.0000
In3 In 0.5000 0.5000 0.5000
Cu1 Cu 0.0000 0.5000 0.2348

Entry 3:
# PBE AlInCu2, optimized geometry
# Final energy: -3.45 eV/atom
data_AlInCu2
_space_group_name_H-M_alt 'P m -3 m'
_space_group_IT_number 221
_space_group_name_Hall '-P 4 2 3'
_cell_length_a 6.2868
_cell_length_b 6.2868
_cell_length_c 6.2868
_cell_angle_alpha 90.00
_cell_angle_beta 90.00
_cell_angle_gamma 90.00
loop_
_atom_site_label
_atom_site_type_symbol
_atom_site_fract_x
_atom_site_fract_y
_atom_site_fract_z
Al1 Al 0.0000 0.0000 0.0000
Al2 Al 0.0000 0.0000 0.5000
In1 In 0.0000 0.5000 0.5000
In2 In 0.5000 0.5000 0.5000
Cu1 Cu 0.2289 0.2289 0.2289

Entry 4:
# PBE AlInCu, optimized geometry
# Final energy: -3.45 eV/atom
data_AlInCu
_space_group_name_H-M_alt 'P 4/n m m'
_space_group_IT_number 129
_cell_length_a 4.2950
_cell_length_b 4.2950
_cell_length_c 6.0426
_cell_angle_alpha 90.00
_cell_angle_beta 90.00
_cell_angle_gamma 90.00
loop_
_space_group_symop_operation_xyz
'x,y,z'
'-x,-y,-z'
'-y+1/2,x,z'
'y+1/2,-x,-z'
'-x+1/2,-y+1/2,z'
'x+1/2,y+1/2,-z'
'y,-x+1/2,z'
'-y,x+1/2,-z'
'x+1/2,-y,-z'
'-x+1/2,y,z'
'-y,-x,-z'
'y,x,z'
'-x,y+1/2,-z'
'x,-y+1/2,z'
'y+1/2,x+1/2,-z'
'-y+1/2,-x+1/2,z'
loop_
_atom_site_label
_atom_site_type_symbol
_atom_site_fract_x
_atom_site_fract_y
_atom_site_fract_z
Al1 Al 0.2500 0.7500 0.0000
In1 In 0.2500 0.7500 0.5000
Cu1 Cu 0.2500 0.2500 0.2172

Entry 5:
# PBE Li4AlIn2Cu, optimized geometry
# Final energy: -2.81 eV/atom
data_Li4AlIn2Cu
_space_group_name_H-M_alt 'P -4 m 2'
_space_group_IT_number 115
_space_group_name_Hall 'P -4 -2'
_cell_length_a 4.4797
_cell_length_b 4.4797
_cell_length_c 6.4473
_cell_angle_alpha 90.00
_cell_angle_beta 90.00
_cell_angle_gamma 90.00
loop_
_atom_site_label
_atom_site_type_symbol
_atom_site_fract_x
_atom_site_fract_y
_atom_site_fract_z
Li1 Li 0.0000 0.0000 0.0000
Li2 Li 0.0000 0.5000 0.7346
Li3 Li 0.5000 0.5000 0.5000
Al1 Al 0.5000 0.5000 0.0000
In1 In 0.0000 0.5000 0.2627
Cu1 Cu 0.0000 0.0000 0.5000

Entry 6:
# PBE Li4Al2InCu, optimized geometry
# Final energy: -2.92 eV/atom
data_Li4Al2InCu
_space_group_name_H-M_alt 'P -4 m 2'
_space_group_IT_number 115
_space_group_name_Hall 'P -4 -2'
_cell_length_a 4.3770
_cell_length_b 4.3770
_cell_length_c 6.3568
_cell_angle_alpha 90.00
_cell_angle_beta 90.00
_cell_angle_gamma 90.00
loop_
_atom_site_label
_atom_site_type_symbol
_atom_site_fract_x
_atom_site_fract_y
_atom_site_fract_z
Li1 Li 0.0000 0.0000 0.0000
Li2 Li 0.0000 0.5000 0.7291
Li3 Li 0.5000 0.5000 0.5000
Al1 Al 0.0000 0.5000 0.2800
In1 In 0.5000 0.5000 0.0000
Cu1 Cu 0.0000 0.0000 0.5000

Entry 7:
# PBE Li4AlInCu2, optimized geometry
# Final energy: -2.89 eV/atom
data_Li4AlInCu2
_space_group_name_H-M_alt 'P -4 m 2'
_space_group_IT_number 115
_space_group_name_Hall 'P -4 -2'
_cell_length_a 4.3130
_cell_length_b 4.3130
_cell_length_c 6.2020
_cell_angle_alpha 90.00
_cell_angle_beta 90.00
_cell_angle_gamma 90.00
loop_
_atom_site_label
_atom_site_type_symbol
_atom_site_fract_x
_atom_site_fract_y
_atom_site_fract_z
Li1 Li 0.0000 0.0000 0.0000
Li2 Li 0.0000 0.5000 0.7368
Li3 Li 0.5000 0.5000 0.5000
Al1 Al 0.0000 0.0000 0.5000
In1 In 0.5000 0.5000 0.0000
Cu1 Cu 0.0000 0.5000 0.2725

Entry 8:
# PBE Li2Mg2AlInCu2, optimized geometry
# Final energy: -2.80 eV/atom
data_Li2Mg2AlInCu2
_space_group_name_H-M_alt 'P -4 m 2'
_space_group_IT_number 115
_space_group_name_Hall 'P -4 -2'
_cell_length_a 4.4397
_cell_length_b 4.4397
_cell_length_c 6.2698
_cell_angle_alpha 90.00
_cell_angle_beta 90.00
_cell_angle_gamma 90.00
loop_
_atom_site_label
_atom_site_type_symbol
_atom_site_fract_x
_atom_site_fract_y
_atom_site_fract_z
Li1 Li 0.0000 0.5000 0.2417
Mg1 Mg 0.0000 0.0000 0.5000
Mg2 Mg 0.5000 0.5000 0.0000
Al1 Al 0.0000 0.0000 0.0000
In1 In 0.5000 0.5000 0.5000
Cu1 Cu 0.0000 0.5000 0.7691

Entry 9:
# PBE Li2Y2AlInCu2, optimized geometry
# Final energy: -4.18 eV/atom
# Magnetization: 0.01 μB/f.u.
data_Li2Y2AlInCu2
_space_group_name_H-M_alt 'P -4 m 2'
_space_group_IT_number 115
_space_group_name_Hall 'P -4 -2'
_cell_length_a 4.6489
_cell_length_b 4.6489
_cell_length_c 6.5739
_cell_angle_alpha 90.00
_cell_angle_beta 90.00
_cell_angle_gamma 90.00
loop_
_atom_site_label
_atom_site_type_symbol
_atom_site_fract_x
_atom_site_fract_y
_atom_site_fract_z
Li1 Li 0.0000 0.5000 0.2421
Y1 Y 0.0000 0.0000 0.5000
Y2 Y 0.5000 0.5000 0.0000
Al1 Al 0.0000 0.0000 0.0000
In1 In 0.5000 0.5000 0.5000
Cu1 Cu 0.0000 0.5000 0.7634

Entry 10:
# PBE Zr2AlInCu2Ni2, optimized geometry
# Final energy: -5.69 eV/atom
# Magnetization: 0.00 μB/f.u.
data_Zr2AlInCu2Ni2
_space_group_name_H-M_alt 'P -4 m 2'
_space_group_IT_number 115
_space_group_name_Hall 'P -4 -2'
_cell_length_a 4.4316
_cell_length_b 4.4316
_cell_length_c 6.2873
_cell_angle_alpha 90.00
_cell_angle_beta 90.00
_cell_angle_gamma 90.00
loop_
_atom_site_label
_atom_site_type_symbol
_atom_site_fract_x
_atom_site_fract_y
_atom_site_fract_z
Zr1 Zr 0.0000 0.0000 0.0000
Zr2 Zr 0.5000 0.5000 0.5000
Al1 Al 0.0000 0.0000 0.5000
In1 In 0.5000 0.5000 0.0000
Cu1 Cu 0.0000 0.5000 0.2661
Ni1 Ni 0.0000 0.5000 0.7318

Entry 11:
# PBE AlInCu2Se2S2, optimized geometry
# Final energy: -4.23 eV/atom
data_AlInCu2Se2S2
_space_group_name_H-M_alt 'P 1'
_space_group_IT_number 1
_space_group_name_Hall 'P 1'
_cell_length_a 5.5936
_cell_length_b 5.5968
_cell_length_c 6.8110
_cell_angle_alpha 114.19
_cell_angle_beta 113.88
_cell_angle_gamma 90.01
loop_
_atom_site_label
_atom_site_type_symbol
_atom_site_fract_x
_atom_site_fract_y
_atom_site_fract_z
Al1 Al 0.0000 0.0000 0.0000
In1 In 0.2388 0.7350 0.5002
Cu1 Cu 0.5003 0.4575 0.0001
Cu2 Cu 0.7781 0.2329 0.4997
Se1 Se 0.3857 0.8700 0.2350
Se2 Se 0.6511 0.6014 0.7640
S1 S 0.1166 0.1294 0.7659
S2 S 0.8587 0.3350 0.2346

Entry 12:
# PBE AlInCu2Se2S2, optimized geometry
# Final energy: -4.23 eV/atom
data_AlInCu2Se2S2
_space_group_name_H-M_alt 'C 1 2 1'
_space_group_IT_number 5
_space_group_name_Hall 'C 2y'
_cell_length_a 7.8811
_cell_length_b 11.1401
_cell_length_c 5.5847
_cell_angle_alpha 90.00
_cell_angle_beta 134.73
_cell_angle_gamma 90.00
loop_
_atom_site_label
_atom_site_type_symbol
_atom_site_fract_x
_atom_site_fract_y
_atom_site_fract_z
Al1 Al 0.0000 0.0000 0.0000
In1 In 0.0000 0.2577 0.5000
Cu1 Cu 0.0000 0.4925 0.0000
Cu2 Cu 0.0000 0.7709 0.5000
Se1 Se 0.2296 0.6223 0.4982
S1 S 0.2329 0.8873 0.9762

Entry 13:
# PBE Tm3Al2InCu3, optimized geometry
# Final energy: -4.31 eV/atom
# Magnetization: 0.01 μB/f.u.
data_Tm3Al2InCu3
_space_group_name_H-M_alt 'A m m 2'
_space_group_IT_number 38
_space_group_name_Hall 'A 2 -2'
_cell_length_a 3.8980
_cell_length_b 12.2882
_cell_length_c 7.2097
_cell_angle_alpha 90.00
_cell_angle_beta 90.00
_cell_angle_gamma 90.00
loop_
_atom_site_label
_atom_site_type_symbol
_atom_site_fract_x
_atom_site_fract_y
_atom_site_fract_z
Tm1 Tm 0.0000 0.0000 0.0000
Tm2 Tm 0.0000 0.2089 0.3842
Al1 Al 0.5000 0.1213 0.7158
In1 In 0.5000 0.0000 0.3442
Cu1 Cu 0.0000 0.0000 0.6092
Cu2 Cu 0.5000 0.1716 0.0861

Entry 14:
# PBE AlCuIr2, optimized geometry
# Final energy: -6.38 eV/atom
# Magnetization: 1.14 μB/f.u.
data_AlCuIr2
_space_group_name_H-M_alt 'F -4 3 m'
_space_group_IT_number 216
_space_group_name_Hall 'F -4 2 3'
_cell_length_a 6.0896
_cell_length_b 6.0896
_cell_length_c 6.0896
_cell_angle_alpha 90.00
_cell_angle_beta 90.00
_cell_angle_gamma 90.00
loop_
_atom_site_label
_atom_site_type_symbol
_atom_site_fract_x
_atom_site_fract_y
_atom_site_fract_z
Al1 Al 0.0000 0.0000 0.0000
Cu1 Cu 0.2500 0.2500 0.2500
Ir1 Ir 0.0000 0.0000 0.5000
Ir2 Ir 0.2500 0.2500 0.7500

Entry 15:
# PBE AlCu2Ir, optimized geometry
# Final energy: -5.32 eV/atom
# Magnetization: 0.00 μB/f.u.
data_AlCu2Ir
_space_group_name_H-M_alt 'F -4 3 m'
_space_group_IT_number 216
_space_group_name_Hall 'F -4 2 3'
_cell_length_a 5.9361
_cell_length_b 5.9361
_cell_length_c 5.9361
_cell_angle_alpha 90.00
_cell_angle_beta 90.00
_cell_angle_gamma 90.00
loop_
_atom_site_label
_atom_site_type_symbol
_atom_site_fract_x
_atom_site_fract_y
_atom_site_fract_z
Al1 Al 0.0000 0.0000 0.0000
Cu1 Cu 0.0000 0.0000 0.5000
Cu2 Cu 0.2500 0.2500 0.7500
Ir1 Ir 0.2500 0.2500 0.2500

Entry 16:
# PBE Al2CuIr, optimized geometry
# Final energy: -5.30 eV/atom
# Magnetization: 0.00 μB/f.u.
data_Al2CuIr
_space_group_name_H-M_alt 'F -4 3 m'
_space_group_IT_number 216
_space_group_name_Hall 'F -4 2 3'
_cell_length_a 6.0528
_cell_length_b 6.0528
_cell_length_c 6.0528
_cell_angle_alpha 90.00
_cell_angle_beta 90.00
_cell_angle_gamma 90.00
loop_
_atom_site_label
_atom_site_type_symbol
_atom_site_fract_x
_atom_site_fract_y
_atom_site_fract_z
Al1 Al 0.0000 0.0000 0.0000
Al2 Al 0.2500 0.2500 0.2500
Cu1 Cu 0.0000 0.0000 0.5000
Ir1 Ir 0.2500 0.2500 0.7500

Entry 17:
# PBE AlCuIr, optimized geometry
# Final energy: -5.60 eV/atom
# Magnetization: 0.00 μB/f.u.
data_AlCuIr
_space_group_name_H-M_alt 'F -4 3 m'
_space_group_IT_number 216
_space_group_name_Hall 'F -4 2 3'
_cell_length_a 5.6736
_cell_length_b 5.6736
_cell_length_c 5.6736
_cell_angle_alpha 90.00
_cell_angle_beta 90.00
_cell_angle_gamma 90.00
loop_
_atom_site_label
_atom_site_type_symbol
_atom_site_fract_x
_atom_site_fract_y
_atom_site_fract_z
Al1 Al 0.0000 0.0000 0.0000
Cu1 Cu 0.2500 0.2500 0.7500
Ir1 Ir 0.2500 0.2500 0.2500

Entry 18:
# PBE LiAlCuIr, optimized geometry
# Final energy: -5.00 eV/atom
# Magnetization: 0.00 μB/f.u.
data_LiAlCuIr
_space_group_name_H-M_alt 'F -4 3 m'
_space_group_IT_number 216
_space_group_name_Hall 'F -4 2 3'
_cell_length_a 5.9083
_cell_length_b 5.9083
_cell_length_c 5.9083
_cell_angle_alpha 90.00
_cell_angle_beta 90.00
_cell_angle_gamma 90.00
loop_
_atom_site_label
_atom_site_type_symbol
_atom_site_fract_x
_atom_site_fract_y
_atom_site_fract_z
Li1 Li 0.0000 0.0000 0.0000
Al1 Al 0.0000 0.0000 0.5000
Cu1 Cu 0.2500 0.2500 0.7500
Ir1 Ir 0.2500 0.2500 0.2500

Entry 19:
# PBE Li4Al2CuIr, optimized geometry
# Final energy: -3.80 eV/atom
# Magnetization: 0.00 μB/f.u.
data_Li4Al2CuIr
_space_group_name_H-M_alt 'P -4 m 2'
_space_group_IT_number 115
_space_group_name_Hall 'P -4 -2'
_cell_length_a 4.2394
_cell_length_b 4.2394
_cell_length_c 5.9774
_cell_angle_alpha 90.00
_cell_angle_beta 90.00
_cell_angle_gamma 90.00
loop_
_atom_site_label
_atom_site_type_symbol
_atom_site_fract_x
_atom_site_fract_y
_atom_site_fract_z
Li1 Li 0.0000 0.0000 0.0000
Li2 Li 0.0000 0.5000 0.7425
Li3 Li 0.5000 0.5000 0.5000
Al1 Al 0.0000 0.5000 0.2339
Cu1 Cu 0.0000 0.0000 0.5000
Ir1 Ir 0.5000 0.5000 0.0000

Entry 20:
# PBE Li2Sc2Al2CuIr, optimized geometry
# Final energy: -5.10 eV/atom
# Magnetization: 0.00 μB/f.u.
data_Li2Sc2Al2CuIr
_space_group_name_H-M_alt 'P -4 m 2'
_space_group_IT_number 115
_space_group_name_Hall 'P -4 -2'
_cell_length_a 4.4533
_cell_length_b 4.4533
_cell_length_c 6.2571
_cell_angle_alpha 90.00
_cell_angle_beta 90.00
_cell_angle_gamma 90.00
loop_
_atom_site_label
_atom_site_type_symbol
_atom_site_fract_x
_atom_site_fract_y
_atom_site_fract_z
Li1 Li 0.0000 0.0000 0.0000
Li2 Li 0.5000 0.5000 0.5000
Sc1 Sc 0.0000 0.5000 0.2496
Al1 Al 0.0000 0.5000 0.7409
Cu1 Cu 0.5000 0.5000 0.0000
Ir1 Ir 0.0000 0.0000 0.5000